Here is crystalline Gd3MgNi6 at its relaxed geometry from OQMD. Energies are from PBE.

Computed properties:
- total moment (μB per atom) = 0.00
- electronic total energy (eV per atom) = -4.486
- crystal system = tetragonal

Unit cell a=6.373 b=6.373 c=10.067 alpha=90.00 beta=90.00 gamma=90.00
Space group I4/mmm (No. 139)
Asymmetric unit:
Gd1 0.000 0.000 0.000 [2 per cell]
Gd2 0.000 0.500 0.250 [4 per cell]
Mg1 0.000 0.000 0.500 [2 per cell]
Ni1 0.000 0.000 0.263 [4 per cell]
Ni2 0.000 0.334 0.500 [8 per cell]

=====

Here is crystalline Mo2Ir5Os at its relaxed geometry from OQMD. Energies are from PBE.

Computed properties:
- DFT formation energy (meV per atom) = -311
- total moment (μB per atom) = 0.00
- crystal system = orthorhombic

Unit cell a=4.414 b=5.521 c=9.624 alpha=90.00 beta=90.00 gamma=90.00
Space group Amm2 (No. 38)
Asymmetric unit:
Mo1 0.000 0.000 0.000 [2 per cell]
Mo2 0.500 0.000 0.334 [2 per cell]
Ir1 0.000 0.000 0.501 [2 per cell]
Ir2 0.000 0.249 0.751 [4 per cell]
Ir3 0.500 0.250 0.084 [4 per cell]
Os1 0.500 0.000 0.834 [2 per cell]

=====

Here is crystalline NiBiMoIr at its relaxed geometry from OQMD. Energies are from PBE.

Computed properties:
- total moment (μB per atom) = 0.10
- electronic total energy (eV per atom) = -6.884
- crystal system = cubic

Unit cell a=6.419 b=6.419 c=6.419 alpha=90.00 beta=90.00 gamma=90.00
Space group F-43m (No. 216)
Asymmetric unit:
Ni1 0.000 0.000 0.000 [4 per cell]
Bi1 0.250 0.250 0.750 [4 per cell]
Mo1 0.000 0.000 0.500 [4 per cell]
Ir1 0.250 0.250 0.250 [4 per cell]

=====

Here is crystalline PmAlPO at its relaxed geometry from OQMD. Energies are from PBE.

Computed properties:
- total moment (μB per atom) = 0.00
- offset from the most stable computed form (eV per atom) = 0.000
- crystal system = orthorhombic

Unit cell a=3.990 b=4.596 c=6.943 alpha=90.00 beta=90.00 gamma=90.00
Space group Pmc2_1 (No. 26)
Asymmetric unit:
Pm1 0.000 0.175 0.000 [2 per cell]
Al1 0.500 0.328 0.348 [2 per cell]
P1 0.500 0.179 0.692 [2 per cell]
O1 0.000 0.327 0.348 [2 per cell]

=====

Here is crystalline TbErCSe at its relaxed geometry from OQMD. Energies are from PBE.

Computed properties:
- total moment (μB per atom) = 0.00
- electronic total energy (eV per atom) = -6.628
- crystal system = hexagonal

Unit cell a=3.7506 b=3.7506 c=13.2444 alpha=90.00 beta=90.00 gamma=120.00
Space group P-6m2 (No. 187)
Asymmetric unit:
Tb1 0.0000 0.0000 0.1515 [2 per cell]
Er1 0.3333 0.6667 0.3519 [2 per cell]
C1 0.6667 0.3333 0.2537 [2 per cell]
Se1 0.0000 0.0000 0.5000 [1 per cell]
Se2 0.3333 0.6667 0.0000 [1 per cell]

=====

Here is crystalline SmDyNO at its relaxed geometry from OQMD. Energies are from PBE.

Computed properties:
- total moment (μB per atom) = 0.00
- offset from the most stable computed form (eV per atom) = 0.058
- crystal system = orthorhombic

Unit cell a=8.156 b=6.689 c=5.036 alpha=90.00 beta=90.00 gamma=90.00
Space group Pbcm (No. 57)
Asymmetric unit:
Sm1 0.129 0.081 0.250 [4 per cell]
Dy1 0.379 0.573 0.250 [4 per cell]
N1 0.131 0.065 0.750 [4 per cell]
O1 0.378 0.596 0.750 [4 per cell]

=====

Here is crystalline KAlInAu at its relaxed geometry from OQMD. Energies are from PBE.

Computed properties:
- offset from the most stable computed form (eV per atom) = 0.000
- crystal system = cubic

Unit cell a=7.303 b=7.303 c=7.303 alpha=90.00 beta=90.00 gamma=90.00
Space group F-43m (No. 216)
Asymmetric unit:
K1 0.000 0.000 0.000 [4 per cell]
Al1 0.000 0.000 0.500 [4 per cell]
In1 0.250 0.250 0.250 [4 per cell]
Au1 0.250 0.250 0.750 [4 per cell]

=====

Here is crystalline CuTcB at its relaxed geometry from OQMD. Energies are from PBE.

Computed properties:
- total moment (μB per atom) = 0.33
- offset from the most stable computed form (eV per atom) = 0.000
- crystal system = cubic

Unit cell a=5.413 b=5.413 c=5.413 alpha=90.00 beta=90.00 gamma=90.00
Space group F-43m (No. 216)
Asymmetric unit:
Cu1 0.000 0.000 0.000 [4 per cell]
Tc1 0.250 0.250 0.750 [4 per cell]
B1 0.000 0.000 0.500 [4 per cell]

=====

Here is crystalline ScSiPd2 at its relaxed geometry from OQMD. Energies are from PBE.

Computed properties:
- total moment (μB per atom) = 0.00
- electronic total energy (eV per atom) = -6.151
- crystal system = hexagonal

Unit cell a=4.5798 b=4.5798 c=7.3496 alpha=90.00 beta=90.00 gamma=120.00
Space group P6_3/mmc (No. 194)
Asymmetric unit:
Sc1 0.0000 0.0000 0.2500 [2 per cell]
Si1 0.3333 0.6667 0.2500 [2 per cell]
Pd1 0.3333 0.6667 0.5671 [4 per cell]

=====

Here is crystalline YHo2Fe2CoNi6 at its relaxed geometry from OQMD. Energies are from PBE.

Computed properties:
- DFT formation energy (meV per atom) = -307
- total moment (μB per atom) = 0.57
- crystal system = trigonal

Unit cell a=4.9643 b=4.9643 c=24.2101 alpha=90.00 beta=90.00 gamma=120.00
Space group R-3m (No. 166, hexagonal axes)
Asymmetric unit:
Y1 0.0000 0.0000 0.0000 [3 per cell]
Ho1 0.0000 0.0000 0.1396 [6 per cell]
Fe1 0.0000 0.0000 0.3329 [6 per cell]
Co1 0.0000 0.0000 0.5000 [3 per cell]
Ni1 0.0016 0.5008 0.0818 [18 per cell]

=====

Here is crystalline YTaCoGe at its relaxed geometry from OQMD. Energies are from PBE.

Computed properties:
- total moment (μB per atom) = 0.61
- offset from the most stable computed form (eV per atom) = 0.000
- crystal system = cubic

Unit cell a=6.543 b=6.543 c=6.543 alpha=90.00 beta=90.00 gamma=90.00
Space group F-43m (No. 216)
Asymmetric unit:
Y1 0.000 0.000 0.000 [4 per cell]
Ta1 0.250 0.250 0.250 [4 per cell]
Co1 0.250 0.250 0.750 [4 per cell]
Ge1 0.000 0.000 0.500 [4 per cell]

=====

Here is crystalline ZrCd2As at its relaxed geometry from OQMD. Energies are from PBE.

Computed properties:
- total moment (μB per atom) = 0.00
- electronic total energy (eV per atom) = -3.741
- crystal system = cubic

Unit cell a=6.930 b=6.930 c=6.930 alpha=90.00 beta=90.00 gamma=90.00
Space group F-43m (No. 216)
Asymmetric unit:
Zr1 0.000 0.000 0.000 [4 per cell]
Cd1 0.000 0.000 0.500 [4 per cell]
Cd2 0.250 0.250 0.250 [4 per cell]
As1 0.250 0.250 0.750 [4 per cell]

=====

Here is crystalline TbEr2Zn3Cu2Ni at its relaxed geometry from OQMD. Energies are from PBE.

Computed properties:
- DFT formation energy (meV per atom) = -371
- total moment (μB per atom) = 0.00
- crystal system = orthorhombic

Unit cell a=3.866 b=12.130 c=7.011 alpha=90.00 beta=90.00 gamma=90.00
Space group Amm2 (No. 38)
Asymmetric unit:
Tb1 0.000 0.000 0.000 [2 per cell]
Er1 0.000 0.202 0.609 [4 per cell]
Zn1 0.500 0.000 0.645 [2 per cell]
Zn2 0.500 0.120 0.288 [4 per cell]
Cu1 0.500 0.169 0.905 [4 per cell]
Ni1 0.000 0.000 0.408 [2 per cell]

=====

Here is crystalline AgAsSeO at its relaxed geometry from OQMD. Energies are from PBE.

Computed properties:
- offset from the most stable computed form (eV per atom) = 0.255
- crystal system = tetragonal

Unit cell a=3.785 b=3.785 c=9.240 alpha=90.00 beta=90.00 gamma=90.00
Space group P4/nmm (No. 129, origin choice 2)
Asymmetric unit:
Ag1 0.250 0.750 0.000 [2 per cell]
As1 0.250 0.250 0.384 [2 per cell]
Se1 0.250 0.250 0.779 [2 per cell]
O1 0.250 0.750 0.500 [2 per cell]

=====

Here is crystalline ErCdBC2 at its relaxed geometry from OQMD. Energies are from PBE.

Computed properties:
- total moment (μB per atom) = 0.00
- electronic total energy (eV per atom) = -6.002
- crystal system = tetragonal

Unit cell a=3.544 b=3.544 c=10.966 alpha=90.00 beta=90.00 gamma=90.00
Space group I4mm (No. 107)
Asymmetric unit:
Er1 0.000 0.000 0.000 [2 per cell]
Cd1 0.000 0.000 0.310 [2 per cell]
B1 0.000 0.000 0.653 [2 per cell]
C1 0.000 0.000 0.522 [2 per cell]
C2 0.000 0.000 0.787 [2 per cell]

=====

Here is crystalline Dy2YHoIr4 at its relaxed geometry from OQMD. Energies are from PBE.

Computed properties:
- DFT formation energy (meV per atom) = -819
- total moment (μB per atom) = 0.00
- crystal system = tetragonal

Unit cell a=4.836 b=4.836 c=6.839 alpha=90.00 beta=90.00 gamma=90.00
Space group P4/mmm (No. 123)
Asymmetric unit:
Dy1 0.000 0.000 0.000 [1 per cell]
Dy2 0.500 0.500 0.500 [1 per cell]
Y1 0.000 0.000 0.500 [1 per cell]
Ho1 0.500 0.500 0.000 [1 per cell]
Ir1 0.000 0.500 0.249 [4 per cell]

=====

Here is crystalline Gd2YFe9 at its relaxed geometry from OQMD. Energies are from PBE.

Computed properties:
- DFT formation energy (meV per atom) = -44
- total moment (μB per atom) = 1.45
- crystal system = trigonal

Unit cell a=5.0730 b=5.0730 c=24.3062 alpha=90.00 beta=90.00 gamma=120.00
Space group R-3m (No. 166, hexagonal axes)
Asymmetric unit:
Gd1 0.0000 0.0000 0.1419 [6 per cell]
Y1 0.0000 0.0000 0.0000 [3 per cell]
Fe1 0.0000 0.0000 0.3327 [6 per cell]
Fe2 0.0000 0.0000 0.5000 [3 per cell]
Fe3 0.0016 0.5008 0.0808 [18 per cell]

=====

Here is crystalline HfNiBiPt at its relaxed geometry from OQMD. Energies are from PBE.

Computed properties:
- total moment (μB per atom) = 0.00
- offset from the most stable computed form (eV per atom) = 0.118
- crystal system = cubic

Unit cell a=6.640 b=6.640 c=6.640 alpha=90.00 beta=90.00 gamma=90.00
Space group F-43m (No. 216)
Asymmetric unit:
Hf1 0.000 0.000 0.000 [4 per cell]
Ni1 0.000 0.000 0.500 [4 per cell]
Bi1 0.250 0.250 0.250 [4 per cell]
Pt1 0.250 0.250 0.750 [4 per cell]

=====

Here is crystalline CsZnFeS3 at its relaxed geometry from OQMD. Energies are from PBE.

Computed properties:
- total moment (μB per atom) = 0.69
- offset from the most stable computed form (eV per atom) = 0.043
- crystal system = orthorhombic

Unit cell a=3.717 b=15.580 c=9.969 alpha=90.00 beta=90.00 gamma=90.00
Space group Cmcm (No. 63)
Asymmetric unit:
Cs1 0.000 0.244 0.250 [4 per cell]
Zn1 0.000 0.033 0.750 [4 per cell]
Fe1 0.000 0.500 0.000 [4 per cell]
S1 0.000 0.102 0.545 [8 per cell]
S2 0.000 0.444 0.750 [4 per cell]

=====

Here is crystalline MgBeZnNi at its relaxed geometry from OQMD. Energies are from PBE.

Computed properties:
- total moment (μB per atom) = 0.00
- offset from the most stable computed form (eV per atom) = 0.000
- crystal system = cubic

Unit cell a=5.852 b=5.852 c=5.852 alpha=90.00 beta=90.00 gamma=90.00
Space group F-43m (No. 216)
Asymmetric unit:
Mg1 0.000 0.000 0.000 [4 per cell]
Be1 0.250 0.250 0.250 [4 per cell]
Zn1 0.250 0.250 0.750 [4 per cell]
Ni1 0.000 0.000 0.500 [4 per cell]